Entry from the Alexandria database: InFeAu2 after structural relaxation (PBE-GGA).

Structure (CIF):
```
data_InFeAu2
_chemical_formula_sum 'In1 Fe1 Au2'
_cell_length_a 3.0055
_cell_length_b 3.4876
_cell_length_c 6.8614
_cell_angle_alpha 90.00
_cell_angle_beta 90.80
_cell_angle_gamma 90.00
_space_group_name_H-M_alt 'P 1 2/m 1'
_space_group_IT_number 10
loop_
_space_group_symop_operation_xyz
'x,y,z'
'-x,-y,-z'
'-x,y,-z'
'x,-y,z'
loop_
_atom_site_label
_atom_site_fract_x
_atom_site_fract_y
_atom_site_fract_z
In1 0.0000 0.0000 0.0000
Fe1 0.0000 0.0000 0.5000
Au1 0.4926 0.5000 0.2798
```

V ... 17.979 A^3/atom
Crystal system ... monoclinic
Formation enthalpy at 0 K ... 79 meV/atom